No. 1
# PBE-GGA Tb4Sb2TePb, optimized geometry
data_Tb4Sb2TePb
_chemical_formula_sum 'Tb4 Sb2 Te1 Pb1'
_symmetry_space_group_name_H-M 'P 1'
_symmetry_Int_Tables_number 1
_cell_length_a 7.6613
_cell_length_b 4.3866
_cell_length_c 7.6627
_cell_angle_alpha 90.00
_cell_angle_beta 109.14
_cell_angle_gamma 90.00
loop_
_symmetry_equiv_pos_as_xyz
'x,y,z'
loop_
_atom_site_label
_atom_site_type_symbol
_atom_site_fract_x
_atom_site_fract_y
_atom_site_fract_z
Tb1 Tb 0.2435 0.0000 0.2430
Tb2 Tb 0.2458 0.5000 0.7500
Tb3 Tb 0.7542 0.5000 0.2500
Tb4 Tb 0.7565 0.0000 0.7570
Sb1 Sb 0.0000 0.0000 0.5000
Sb2 Sb 0.0000 0.5000 0.0000
Te1 Te 0.5000 0.5000 0.5000
Pb1 Pb 0.5000 0.0000 0.0000
# - Final energy: -42.064 eV for the cell shown
# - Raw formation energy: -101.89 kJ per mole of atoms

No. 2
# PBE-GGA Tb6Sb2Te3Pb, optimized geometry
data_Tb6Sb2Te3Pb
_chemical_formula_sum 'Tb6 Sb2 Te3 Pb1'
_symmetry_space_group_name_H-M 'P 1'
_symmetry_Int_Tables_number 1
_cell_length_a 9.8557
_cell_length_b 9.8557
_cell_length_c 8.8103
_cell_angle_alpha 102.88
_cell_angle_beta 102.88
_cell_angle_gamma 25.88
loop_
_symmetry_equiv_pos_as_xyz
'x,y,z'
loop_
_atom_site_label
_atom_site_type_symbol
_atom_site_fract_x
_atom_site_fract_y
_atom_site_fract_z
Tb1 Tb 0.0019 0.0019 0.2444
Tb2 Tb 0.3308 0.3308 0.4230
Tb3 Tb 0.3359 0.3359 0.9115
Tb4 Tb 0.6641 0.6641 0.0885
Tb5 Tb 0.6692 0.6692 0.5770
Tb6 Tb 0.9981 0.9981 0.7556
Sb1 Sb 0.1668 0.1668 0.3335
Sb2 Sb 0.8332 0.8332 0.6665
Te1 Te 0.1673 0.1673 0.8327
Te2 Te 0.5000 0.5000 0.5000
Te3 Te 0.8327 0.8327 0.1673
Pb1 Pb 0.5000 0.5000 0.0000
# - Final energy: -63.248 eV for the cell shown
# - Raw formation energy: -113.28 kJ per mole of atoms

No. 3
# PBE-GGA Tb4SbTePb2, optimized geometry
data_Tb4SbTePb2
_chemical_formula_sum 'Tb4 Sb1 Te1 Pb2'
_symmetry_space_group_name_H-M 'P 1'
_symmetry_Int_Tables_number 1
_cell_length_a 7.5058
_cell_length_b 4.3560
_cell_length_c 7.9261
_cell_angle_alpha 90.00
_cell_angle_beta 108.62
_cell_angle_gamma 90.00
loop_
_symmetry_equiv_pos_as_xyz
'x,y,z'
loop_
_atom_site_label
_atom_site_type_symbol
_atom_site_fract_x
_atom_site_fract_y
_atom_site_fract_z
Tb1 Tb 0.2444 0.0000 0.2441
Tb2 Tb 0.2455 0.5000 0.7505
Tb3 Tb 0.7545 0.5000 0.2495
Tb4 Tb 0.7556 0.0000 0.7559
Sb1 Sb 0.0000 0.5000 0.0000
Te1 Te 0.5000 0.0000 0.0000
Pb1 Pb 0.0000 0.0000 0.5000
Pb2 Pb 0.5000 0.5000 0.5000
# - Final energy: -40.079 eV for the cell shown
# - Raw formation energy: -82.94 kJ per mole of atoms

No. 4
# PBE-GGA TbThSbPb, optimized geometry
data_TbThSbPb
_chemical_formula_sum 'Tb1 Th1 Sb1 Pb1'
_symmetry_space_group_name_H-M 'P 1'
_symmetry_Int_Tables_number 1
_cell_length_a 7.7248
_cell_length_b 7.7248
_cell_length_c 7.7248
_cell_angle_alpha 33.95
_cell_angle_beta 33.95
_cell_angle_gamma 33.95
loop_
_symmetry_equiv_pos_as_xyz
'x,y,z'
loop_
_atom_site_label
_atom_site_type_symbol
_atom_site_fract_x
_atom_site_fract_y
_atom_site_fract_z
Tb1 Tb 0.0000 0.0000 0.0000
Th1 Th 0.4996 0.4996 0.4996
Sb1 Sb 0.7476 0.7476 0.7476
Pb1 Pb 0.2522 0.2522 0.2522
# - Final energy: -22.650 eV for the cell shown
# - Raw formation energy: -66.81 kJ per mole of atoms

No. 5
# PBE-GGA Tc2Sb2Pb, optimized geometry
data_Tc2Sb2Pb
_chemical_formula_sum 'Tc2 Sb2 Pb1'
_symmetry_space_group_name_H-M 'P 1'
_symmetry_Int_Tables_number 1
_cell_length_a 6.1746
_cell_length_b 6.1746
_cell_length_c 6.1746
_cell_angle_alpha 135.22
_cell_angle_beta 135.22
_cell_angle_gamma 65.18
loop_
_symmetry_equiv_pos_as_xyz
'x,y,z'
loop_
_atom_site_label
_atom_site_type_symbol
_atom_site_fract_x
_atom_site_fract_y
_atom_site_fract_z
Tc1 Tc 0.2500 0.7500 0.5000
Tc2 Tc 0.7500 0.2500 0.5000
Sb1 Sb 0.1390 0.1390 0.0000
Sb2 Sb 0.8610 0.8610 0.0000
Pb1 Pb 0.5000 0.5000 0.0000
# - Final energy: -31.083 eV for the cell shown
# - Energy above the most stable polymorph in this dataset: 41 meV per atom
# - Raw formation energy: 30.91 kJ per mole of atoms

No. 6
# PBE-GGA Tc2SbPb, optimized geometry
data_Tc2SbPb
_chemical_formula_sum 'Tc2 Sb1 Pb1'
_symmetry_space_group_name_H-M 'P 1'
_symmetry_Int_Tables_number 1
_cell_length_a 4.6808
_cell_length_b 4.6808
_cell_length_c 4.6808
_cell_angle_alpha 60.00
_cell_angle_beta 60.00
_cell_angle_gamma 60.00
loop_
_symmetry_equiv_pos_as_xyz
'x,y,z'
loop_
_atom_site_label
_atom_site_type_symbol
_atom_site_fract_x
_atom_site_fract_y
_atom_site_fract_z
Tc1 Tc 0.2500 0.2500 0.2500
Tc2 Tc 0.7500 0.7500 0.7500
Sb1 Sb 0.0000 0.0000 0.0000
Pb1 Pb 0.5000 0.5000 0.5000
# - Final energy: -26.788 eV for the cell shown
# - Energy above the most stable polymorph in this dataset: 261 meV per atom
# - Raw formation energy: 42.81 kJ per mole of atoms

No. 7
# PBE-GGA Tc2SbPb, optimized geometry
data_Tc2SbPb
_chemical_formula_sum 'Tc2 Sb1 Pb1'
_symmetry_space_group_name_H-M 'P 1'
_symmetry_Int_Tables_number 1
_cell_length_a 4.6844
_cell_length_b 4.6844
_cell_length_c 3.3099
_cell_angle_alpha 90.00
_cell_angle_beta 90.00
_cell_angle_gamma 90.00
loop_
_symmetry_equiv_pos_as_xyz
'x,y,z'
loop_
_atom_site_label
_atom_site_type_symbol
_atom_site_fract_x
_atom_site_fract_y
_atom_site_fract_z
Tc1 Tc 0.0000 0.5000 0.0000
Tc2 Tc 0.5000 0.0000 0.0000
Sb1 Sb 0.0000 0.0000 0.5000
Pb1 Pb 0.5000 0.5000 0.5000
# - Final energy: -26.778 eV for the cell shown
# - Energy above the most stable polymorph in this dataset: 264 meV per atom
# - Raw formation energy: 43.05 kJ per mole of atoms

No. 8
# PBE-GGA TcSbPb3, optimized geometry
data_TcSbPb3
_chemical_formula_sum 'Tc1 Sb1 Pb3'
_symmetry_space_group_name_H-M 'P 1'
_symmetry_Int_Tables_number 1
_cell_length_a 5.3516
_cell_length_b 5.3516
_cell_length_c 5.3516
_cell_angle_alpha 90.00
_cell_angle_beta 90.00
_cell_angle_gamma 90.00
loop_
_symmetry_equiv_pos_as_xyz
'x,y,z'
loop_
_atom_site_label
_atom_site_type_symbol
_atom_site_fract_x
_atom_site_fract_y
_atom_site_fract_z
Tc1 Tc 0.0000 0.0000 0.0000
Sb1 Sb 0.5000 0.5000 0.5000
Pb1 Pb 0.0000 0.0000 0.5000
Pb2 Pb 0.0000 0.5000 0.0000
Pb3 Pb 0.5000 0.0000 0.0000
# - Final energy: -23.324 eV for the cell shown
# - Energy above the most stable polymorph in this dataset: 0 meV per atom
# - Raw formation energy: 44.18 kJ per mole of atoms

No. 9
# PBE-GGA TcSbPb, optimized geometry
data_TcSbPb
_chemical_formula_sum 'Tc1 Sb1 Pb1'
_symmetry_space_group_name_H-M 'P 1'
_symmetry_Int_Tables_number 1
_cell_length_a 4.6585
_cell_length_b 4.6585
_cell_length_c 3.6658
_cell_angle_alpha 90.00
_cell_angle_beta 90.00
_cell_angle_gamma 120.00
loop_
_symmetry_equiv_pos_as_xyz
'x,y,z'
loop_
_atom_site_label
_atom_site_type_symbol
_atom_site_fract_x
_atom_site_fract_y
_atom_site_fract_z
Tc1 Tc 0.0000 0.0000 0.0000
Sb1 Sb 0.3333 0.6667 0.0000
Pb1 Pb 0.6667 0.3333 0.5000
# - Final energy: -16.551 eV for the cell shown
# - Energy above the most stable polymorph in this dataset: 410 meV per atom
# - Raw formation energy: 52.92 kJ per mole of atoms

No. 10
# PBE-GGA Tc2Sb2Pb, optimized geometry
data_Tc2Sb2Pb
_chemical_formula_sum 'Tc2 Sb2 Pb1'
_symmetry_space_group_name_H-M 'P 1'
_symmetry_Int_Tables_number 1
_cell_length_a 5.9479
_cell_length_b 5.9479
_cell_length_c 5.9479
_cell_angle_alpha 131.33
_cell_angle_beta 131.33
_cell_angle_gamma 71.28
loop_
_symmetry_equiv_pos_as_xyz
'x,y,z'
loop_
_atom_site_label
_atom_site_type_symbol
_atom_site_fract_x
_atom_site_fract_y
_atom_site_fract_z
Tc1 Tc 0.1173 0.1173 0.0000
Tc2 Tc 0.8827 0.8827 0.0000
Sb1 Sb 0.2500 0.7500 0.5000
Sb2 Sb 0.7500 0.2500 0.5000
Pb1 Pb 0.5000 0.5000 0.0000
# - Final energy: -30.840 eV for the cell shown
# - Energy above the most stable polymorph in this dataset: 90 meV per atom
# - Raw formation energy: 35.61 kJ per mole of atoms

No. 11
# PBE-GGA TcSbPb4, optimized geometry
data_TcSbPb4
_chemical_formula_sum 'Tc1 Sb1 Pb4'
_symmetry_space_group_name_H-M 'P 1'
_symmetry_Int_Tables_number 1
_cell_length_a 6.3372
_cell_length_b 6.3372
_cell_length_c 6.3372
_cell_angle_alpha 60.00
_cell_angle_beta 60.00
_cell_angle_gamma 60.00
loop_
_symmetry_equiv_pos_as_xyz
'x,y,z'
loop_
_atom_site_label
_atom_site_type_symbol
_atom_site_fract_x
_atom_site_fract_y
_atom_site_fract_z
Tc1 Tc 0.0000 0.0000 0.0000
Sb1 Sb 0.2500 0.2500 0.2500
Pb1 Pb 0.1239 0.6254 0.6254
Pb2 Pb 0.6254 0.1239 0.6254
Pb3 Pb 0.6254 0.6254 0.1239
Pb4 Pb 0.6254 0.6254 0.6254
# - Final energy: -24.213 eV for the cell shown
# - Raw formation energy: 82.15 kJ per mole of atoms

No. 12
# PBE-GGA Tc2SbPb, optimized geometry
data_Tc2SbPb
_chemical_formula_sum 'Tc2 Sb1 Pb1'
_symmetry_space_group_name_H-M 'P 1'
_symmetry_Int_Tables_number 1
_cell_length_a 8.6591
_cell_length_b 8.6591
_cell_length_c 8.6591
_cell_angle_alpha 21.39
_cell_angle_beta 21.39
_cell_angle_gamma 21.39
loop_
_symmetry_equiv_pos_as_xyz
'x,y,z'
loop_
_atom_site_label
_atom_site_type_symbol
_atom_site_fract_x
_atom_site_fract_y
_atom_site_fract_z
Tc1 Tc 0.2456 0.2456 0.2456
Tc2 Tc 0.7544 0.7544 0.7544
Sb1 Sb 0.5000 0.5000 0.5000
Pb1 Pb 0.0000 0.0000 0.0000
# - Final energy: -26.427 eV for the cell shown
# - Energy above the most stable polymorph in this dataset: 352 meV per atom
# - Raw formation energy: 51.52 kJ per mole of atoms

No. 13
# PBE-GGA Tc2SbPb, optimized geometry
data_Tc2SbPb
_chemical_formula_sum 'Tc2 Sb1 Pb1'
_symmetry_space_group_name_H-M 'P 1'
_symmetry_Int_Tables_number 1
_cell_length_a 3.1716
_cell_length_b 4.1436
_cell_length_c 6.0342
_cell_angle_alpha 90.00
_cell_angle_beta 99.96
_cell_angle_gamma 90.00
loop_
_symmetry_equiv_pos_as_xyz
'x,y,z'
loop_
_atom_site_label
_atom_site_type_symbol
_atom_site_fract_x
_atom_site_fract_y
_atom_site_fract_z
Tc1 Tc 0.1969 0.0000 0.2841
Tc2 Tc 0.8031 0.0000 0.7159
Sb1 Sb 0.0000 0.5000 0.5000
Pb1 Pb 0.5000 0.5000 0.0000
# - Final energy: -26.024 eV for the cell shown
# - Energy above the most stable polymorph in this dataset: 452 meV per atom
# - Raw formation energy: 61.23 kJ per mole of atoms

No. 14
# PBE-GGA TcSbPb, optimized geometry
data_TcSbPb
_chemical_formula_sum 'Tc2 Sb2 Pb2'
_symmetry_space_group_name_H-M 'P 1'
_symmetry_Int_Tables_number 1
_cell_length_a 15.1294
_cell_length_b 15.1294
_cell_length_c 15.1294
_cell_angle_alpha 168.16
_cell_angle_beta 168.16
_cell_angle_gamma 16.78
loop_
_symmetry_equiv_pos_as_xyz
'x,y,z'
loop_
_atom_site_label
_atom_site_type_symbol
_atom_site_fract_x
_atom_site_fract_y
_atom_site_fract_z
Tc1 Tc 0.2243 0.2243 0.0000
Tc2 Tc 0.7757 0.7757 0.0000
Sb1 Sb 0.3371 0.3371 0.0000
Sb2 Sb 0.6629 0.6629 0.0000
Pb1 Pb 0.0548 0.0548 0.0000
Pb2 Pb 0.9452 0.9452 0.0000
# - Final energy: -35.560 eV for the cell shown
# - Energy above the most stable polymorph in this dataset: 0 meV per atom
# - Raw formation energy: 13.40 kJ per mole of atoms